Below is a relaxed ZrNpFe crystal, with properties calculated at the PBE level.

Computed properties:
As for the volume: 217.3 Å³/cell. The formation energy from the elements comes out at 0.02 eV/atom. For the density, the calculation gives 11.7 g cm⁻³.

Lattice parameters (Å, degrees): 6.610 5.313 6.318 90.00 101.71 90.00
Space group P2_1/c (No. 14)
Inequivalent atoms, fractional coordinates:
Zr1 0.151 0.132 0.364 x4
Np1 0.429 0.618 0.337 x4
Fe1 0.166 0.639 0.503 x4